[1]
VASP calculation (PBE) on crystalline DyYPu2 at its relaxed geometry.

Structure (POSCAR):
```
DyYPu2
1.0
4.825 0.000 0.000
0.000 4.825 0.000
0.000 0.000 5.053
Dy Y Pu
1 1 2
Cartesian
0.000 0.000 0.000
2.412 2.412 0.000
0.000 2.412 2.526
2.412 0.000 2.526
```

Results
Density of states at the Fermi level (states/eV per atom): 3.71
Volume (Å³ per atom): 29.40
ΔH_f (0 K) (meV per atom): 189
Distance to the lowest polymorph of the same formula (eV per formula unit): 0.01

=====

[2]
VASP calculation (PBE) on crystalline Dy14YPu at its relaxed geometry.

Structure (POSCAR):
```
Dy14YPu
1.0
11.247 0.000 0.000
0.000 3.606 6.240
0.000 -3.606 6.240
Dy Y Pu
14 1 1
Cartesian
0.000 0.000 0.001
0.000 1.802 9.362
0.000 -1.802 9.362
0.000 0.000 6.240
2.790 0.000 4.157
2.833 -1.823 7.271
2.833 1.823 7.271
2.841 0.000 10.422
5.623 1.802 9.361
5.623 -1.802 9.361
8.406 0.000 10.422
8.414 -1.823 7.271
8.414 1.823 7.271
8.457 0.000 4.157
5.623 0.000 6.245
5.623 0.000 0.003
```

Results
Density of states at the Fermi level (states/eV per atom): 1.79
Volume (Å³ per atom): 31.64
ΔH_f (0 K) (meV per atom): 29

=====

[3]
VASP calculation (PBE) on crystalline Dy8Y3Pu at its relaxed geometry.

Structure (POSCAR):
```
Dy8Y3Pu
1.0
-4.313 4.313 5.674
4.313 -4.313 5.674
4.313 4.313 -5.674
Dy Y Pu
8 3 1
Cartesian
3.223 3.223 -3.044
1.987 1.987 -0.378
2.327 -2.327 6.052
1.090 1.090 2.630
1.090 -1.090 8.718
2.327 2.327 5.296
-2.327 2.327 6.052
-1.090 1.090 8.718
4.313 0.000 2.837
0.000 0.000 5.674
0.000 4.313 2.837
0.000 0.000 0.000
```

Results
Density of states at the Fermi level (states/eV per atom): 1.35
Volume (Å³ per atom): 35.19
ΔH_f (0 K) (meV per atom): 591